1.
CsRb6AuF: optimized geometry, PBE.

a = 8.2686 Å, b = 8.2690 Å, c = 11.7105 Å
α = 90.02°, β = 89.98°, γ = 60.00°
Last column: nearest neighbours and their distance in Å.
Sites, in units of the cell vectors:
Rb1 0.3370 0.6250 0.3470  1 F 3.02
F1 0.3334 0.3334 0.5000  6 Rb 3.01-3.02
Rb2 0.3367 0.0382 0.6530  1 F 3.02
Rb3 0.0383 0.3367 0.3471  1 F 3.02
Au1 0.6666 0.6667 0.5000  6 Rb 3.42
Rb4 0.0381 0.6251 0.6526  1 F 3.01
Cs1 0.9994 0.9999 0.0000  6 Rb 5.02-5.03
Rb5 0.6251 0.0381 0.3474  1 F 3.01
Rb6 0.6250 0.3370 0.6529  1 F 3.02

Space group: No. 5
Formation energy from raw total energies (eV per atom): -0.570
Total moment (Bohr magnetons per cell): 0.0

***

2.
LuAl2Ge: optimized geometry, PBE.

a = 4.3324 Å, b = 4.1629 Å, c = 4.1629 Å
α = 90.00°, β = 90.00°, γ = 90.00°
Last column: nearest neighbours and their distance in Å.
Sites, in units of the cell vectors:
Ge1 0.5000 0.0000 0.0000  4 Lu 2.94, 8 Al 3.00
Al1 0.0000 0.5000 0.0000  4 Al 2.94, 4 Ge 3.00, 4 Lu 3.00
Al2 0.0000 0.0000 0.5000  4 Al 2.94, 4 Lu 3.00, 4 Ge 3.00
Lu1 0.5000 0.5000 0.5000  4 Ge 2.94, 8 Al 3.00

Space group: No. 123
ΔE to the lowest computed polymorph (eV/atom): 0.000
Total moment (Bohr magnetons per cell): 0.0
Energy of formation from the pure elements (kJ/mol of formula units): -149

***

3.
Hf2BiS: optimized geometry, PBE.

a = 3.7955 Å, b = 3.7955 Å, c = 7.1469 Å
α = 74.60°, β = 74.60°, γ = 60.00°
Last column: nearest neighbours and their distance in Å.
Sites, in units of the cell vectors:
S1 0.6676 0.6676 0.9972  6 Hf 2.53-2.55
Hf1 0.2705 0.2705 0.1886  3 S 2.55
Hf2 0.0630 0.0630 0.8110  3 S 2.53
Bi1 0.4989 0.4989 0.5032  6 Hf 3.03-3.06

Space group: No. 160
ΔE to the lowest computed polymorph (eV/atom): 0.000
Formation energy from raw total energies (eV per atom): -0.669
Total moment (Bohr magnetons per cell): 0.0

***

4.
Ho2In5Pd3: optimized geometry, PBE.

a = 4.4734 Å, b = 7.3058 Å, c = 13.5573 Å
α = 90.00°, β = 99.50°, γ = 90.00°
Last column: nearest neighbours and their distance in Å.
Sites, in units of the cell vectors:
Pd1 0.7719 0.6919 0.5438  7 In 2.75-2.82
Pd2 0.6101 0.5207 0.2202  6 In 2.74-2.98, 1 Ho 2.92
In1 0.0536 0.6166 0.1072  4 Pd 2.73-2.86
Pd3 0.2281 0.1919 0.4562  7 In 2.75-2.82
Ho1 0.4777 0.7833 0.9554  3 Pd 2.92-3.07, 2 In 3.26
Pd4 0.3899 0.0207 0.7798  6 In 2.74-2.98, 1 Ho 2.92
In2 0.8760 0.7557 0.7520  4 Pd 2.81-2.98
In3 0.7070 0.3999 0.4140  4 Pd 2.74-2.76, 1 In 3.02
Pd5 0.9562 0.5064 0.9124  5 In 2.73-2.86
In4 0.4022 0.4067 0.8045  3 Pd 2.76-2.84, 1 In 2.99
In5 0.7073 0.9871 0.4145  3 Pd 2.75-2.76, 2 In 2.99-3.02
Ho2 0.8242 0.1965 0.6484  4 Pd 3.12-3.41, 9 In 3.20-3.48
In6 0.2930 0.8999 0.5860  4 Pd 2.74-2.76, 1 In 3.02
In7 0.2927 0.4871 0.5855  3 Pd 2.75-2.76, 2 In 2.99-3.02
Ho3 0.5223 0.2833 0.0446  3 Pd 2.92-3.07, 2 In 3.26
In8 0.9464 0.1166 0.8928  4 Pd 2.73-2.86
Pd6 0.0438 0.0064 0.0876  5 In 2.73-2.86
In9 0.5978 0.9067 0.1955  3 Pd 2.76-2.84, 1 In 2.99
In10 0.1240 0.2557 0.2480  4 Pd 2.81-2.98
Ho4 0.1758 0.6965 0.3516  4 Pd 3.12-3.41, 9 In 3.20-3.48

Space group: No. 36
Total moment (Bohr magnetons per cell): 0.0
Energy of formation from the pure elements (kJ/mol of formula units): -591

***

5.
DyAu6: optimized geometry, PBE.

a = 6.3949 Å, b = 6.3949 Å, c = 6.3949 Å
α = 109.47°, β = 109.47°, γ = 109.47°
Last column: nearest neighbours and their distance in Å.
Sites, in units of the cell vectors:
Au1 0.2500 0.7500 0.5000  4 Au 2.61
Au2 0.5000 0.7500 0.2500  4 Au 2.61
Au3 0.5000 0.2500 0.7500  4 Au 2.61
Dy1 0.0000 0.0000 0.0000  24 Au 4.13
Au4 0.2500 0.5000 0.7500  4 Au 2.61
Au5 0.7500 0.2500 0.5000  4 Au 2.61
Au6 0.7500 0.5000 0.2500  4 Au 2.61

Space group: No. 229
ΔE to the lowest computed polymorph (eV/atom): 0.900
Total moment (Bohr magnetons per cell): 0.0
Energy of formation from the pure elements (kJ/mol of formula units): 327

***

6.
ScTe2WN: optimized geometry, PBE.

a = 5.5927 Å, b = 5.5927 Å, c = 3.8141 Å
α = 90.00°, β = 90.00°, γ = 90.00°
Last column: nearest neighbours and their distance in Å.
Sites, in units of the cell vectors:
W1 0.5000 0.5000 0.5000  8 Te 3.38
Sc1 0.0000 0.0000 0.0000  2 N 1.91
Te1 0.5000 0.0000 0.0000  2 Sc 2.80
N1 0.0000 0.0000 0.5000  2 Sc 1.91
Te2 0.0000 0.5000 0.0000  2 Sc 2.80

Space group: No. 123
ΔE to the lowest computed polymorph (eV/atom): 0.950
Formation energy from raw total energies (eV per atom): 0.936
Total moment (Bohr magnetons per cell): 3.6

***

7.
ZnAg2O4: optimized geometry, PBE.

a = 3.1225 Å, b = 9.7259 Å, c = 11.3694 Å
α = 90.00°, β = 90.00°, γ = 90.00°
Last column: nearest neighbours and their distance in Å.
Sites, in units of the cell vectors:
O1 0.7500 0.6196 0.9935  3 Ag 2.11-2.14
O2 0.2500 0.3804 0.0065  3 Ag 2.11-2.14
O3 0.7500 0.1196 0.5065  3 Ag 2.11-2.14
Ag1 0.7500 0.9065 0.1094  2 O 2.10-2.14
Ag2 0.7500 0.4065 0.3906  2 O 2.10-2.14
O4 0.2500 0.6156 0.4221  2 Zn 2.05, 1 Ag 2.14
O5 0.7500 0.3844 0.5779  2 Zn 2.05, 1 Ag 2.14
Zn1 0.7500 0.1990 0.1702  4 O 2.05-2.11
O6 0.2500 0.7404 0.2102  1 Ag 2.09, 2 Zn 2.11
Zn2 0.2500 0.8010 0.8298  4 O 2.05-2.11
O7 0.2500 0.8804 0.4935  3 Ag 2.11-2.14
Ag3 0.7500 0.9414 0.6118  6 O 2.09-2.14
Ag4 0.2500 0.0935 0.8906  2 O 2.10-2.14
O8 0.2500 0.2404 0.2898  1 Ag 2.09, 2 Zn 2.11
O9 0.7500 0.8844 0.9221  2 Zn 2.05, 1 Ag 2.14
Zn3 0.2500 0.3010 0.6702  4 O 2.05-2.11
Zn4 0.7500 0.6990 0.3298  4 O 2.05-2.11
Ag5 0.2500 0.5586 0.1118  6 O 2.09-2.14
O10 0.7500 0.9852 0.2816  3 Ag 2.10
O11 0.7500 0.4852 0.2184  3 Ag 2.10
Ag6 0.2500 0.0586 0.3882  6 O 2.09-2.14
O12 0.2500 0.0148 0.7184  3 Ag 2.10
O13 0.7500 0.2596 0.7898  1 Ag 2.09, 2 Zn 2.11
Ag7 0.2500 0.5935 0.6094  2 O 2.10-2.14
O14 0.2500 0.5148 0.7816  3 Ag 2.10
Ag8 0.7500 0.4414 0.8882  6 O 2.09-2.14
O15 0.7500 0.7596 0.7102  1 Ag 2.09, 2 Zn 2.11
O16 0.2500 0.1156 0.0779  2 Zn 2.05, 1 Ag 2.14

Space group: No. 62
ΔE to the lowest computed polymorph (eV/atom): 0.139
Formation energy from raw total energies (eV per atom): -0.164
Total moment (Bohr magnetons per cell): 0.0

***

8.
ZrPdPt3: optimized geometry, PBE.

a = 3.9907 Å, b = 5.7256 Å, c = 8.5627 Å
α = 118.84°, β = 103.48°, γ = 90.00°
Last column: nearest neighbours and their distance in Å.
Sites, in units of the cell vectors:
Zr1 0.3911 0.3395 0.7821  2 Pd 2.77, 9 Pt 2.78-2.92
Pt1 0.4002 0.8562 0.8003  7 Pt 2.81-2.89, 2 Zr 2.85-2.89, 3 Pd 2.87-2.91
Pt2 0.0019 0.2545 0.0038  7 Pt 2.84-2.91, 1 Pd 2.86, 4 Zr 2.91-2.92
Pd1 0.1994 0.5446 0.3988  2 Zr 2.77, 2 Pd 2.82, 8 Pt 2.82-2.91
Pt3 0.8009 0.9493 0.6018  3 Zr 2.78-2.81, 5 Pt 2.81-2.91, 4 Pd 2.82-2.90
Pt4 0.5998 0.1438 0.1997  7 Pt 2.81-2.89, 2 Zr 2.85-2.89, 3 Pd 2.87-2.91
Pd2 0.8006 0.4554 0.6012  2 Zr 2.77, 2 Pd 2.82, 8 Pt 2.82-2.91
Pt5 0.9981 0.7455 0.9962  7 Pt 2.84-2.91, 1 Pd 2.86, 4 Zr 2.91-2.92
Zr2 0.6089 0.6605 0.2179  2 Pd 2.77, 9 Pt 2.78-2.92
Pt6 0.1991 0.0507 0.3982  3 Zr 2.78-2.81, 5 Pt 2.81-2.91, 4 Pd 2.82-2.90

Space group: No. 12
ΔE to the lowest computed polymorph (eV/atom): 0.000
Total moment (Bohr magnetons per cell): 0.0
Energy of formation from the pure elements (kJ/mol of formula units): -355